The following is a PBE calculation of a relaxed SmTa4N8 crystal, from the Alexandria database.

Computed properties:
Total DFT energy (no corrections) = -130.01 eV per formula unit
Calculated volume = 175.0 Å³/cell
Space group = No. 8

Lattice parameters (Å, degrees): 7.5300 7.5300 9.8039 129.22 129.22 24.38
Fractional positions:
Sm (0.0000, 0.0000, 0.0000)
Ta (0.0331, 0.0331, 0.6920)
Ta (0.2457, 0.2457, 0.4092)
Ta (0.5373, 0.5373, 0.3663)
Ta (0.7439, 0.7439, 0.0509)
N (0.1540, 0.1540, 0.4975)
N (0.2128, 0.2128, 0.8880)
N (0.2317, 0.2317, 0.1809)
N (0.5118, 0.5118, 0.5470)
N (0.5415, 0.5415, 0.8589)
N (0.6062, 0.6062, 0.2322)
N (0.8469, 0.8469, 0.5518)
N (0.9217, 0.9217, 0.1901)